*i*
CdSiHg2 | PBE | relaxed

a b c (Å): 3.2560 3.2560 8.3937
angles (deg): 90.00 90.00 90.00
Element x y z (fractional)
Cd (0.0000, 0.0000, 0.0000)
Si (0.5000, 0.5000, 0.7842)
Hg (0.0000, 0.0000, 0.5534)
Hg (0.5000, 0.5000, 0.2711)

Summary:
Space group: P4mm (99)
Magnetization, μB/f.u.: 0.0


*ii*
CdSiHg2 | PBE | relaxed

a b c (Å): 12.0396 12.0396 12.0396
angles (deg): 14.18 14.18 14.18
Element x y z (fractional)
Cd (0.0000, 0.0000, 0.0000)
Si (0.5000, 0.5000, 0.5000)
Hg (0.2451, 0.2451, 0.2451)
Hg (0.7549, 0.7549, 0.7549)

Summary:
Space group: R-3m (166)
Magnetization, μB/f.u.: 0.0


Unit: eV/atom. Relative energies: *i* 0.007; *ii* 0.000.


*i*
Cd2SiHg2 | PBE | relaxed

a b c (Å): 7.1759 7.1759 4.6616
angles (deg): 90.00 90.00 90.00
Element x y z (fractional)
Cd (0.1477, 0.3523, 0.0000)
Cd (0.3523, 0.8523, 0.0000)
Cd (0.6477, 0.1477, 0.0000)
Cd (0.8523, 0.6477, 0.0000)
Si (0.0000, 0.0000, 0.0000)
Si (0.5000, 0.5000, 0.0000)
Hg (0.1633, 0.6633, 0.5000)
Hg (0.3367, 0.1633, 0.5000)
Hg (0.6633, 0.8367, 0.5000)
Hg (0.8367, 0.3367, 0.5000)

Summary:
Space group: P4/mbm (127)
Magnetization, μB/f.u.: 0.0


*ii*
Cd2SiHg2 | PBE | relaxed

a b c (Å): 7.2563 7.2563 4.5049
angles (deg): 90.00 90.00 90.00
Element x y z (fractional)
Cd (0.1549, 0.3451, 0.0000)
Cd (0.3451, 0.8451, 0.0000)
Cd (0.6549, 0.1549, 0.0000)
Cd (0.8451, 0.6549, 0.0000)
Si (0.0000, 0.0000, 0.5000)
Si (0.5000, 0.5000, 0.5000)
Hg (0.1540, 0.6540, 0.5000)
Hg (0.3460, 0.1540, 0.5000)
Hg (0.6540, 0.8460, 0.5000)
Hg (0.8460, 0.3460, 0.5000)

Summary:
Space group: P4/mbm (127)
Magnetization, μB/f.u.: 0.0


Unit: eV/atom. Relative energies: *i* 0.000; *ii* 0.012.


*i*
Sm4CdHg | PBE | relaxed

a b c (Å): 5.2212 5.2212 9.0519
angles (deg): 106.95 106.95 59.90
Element x y z (fractional)
Sm (0.1242, 0.1242, 0.3725)
Sm (0.3744, 0.3744, 0.1229)
Sm (0.6256, 0.6256, 0.8771)
Sm (0.8758, 0.8758, 0.6275)
Cd (0.5000, 0.5000, 0.5000)
Hg (0.0000, 0.0000, 0.0000)

Summary:
Space group: C2/m (12)
Magnetization, μB/f.u.: 1.1


*ii*
Sm4CdHg | PBE | relaxed

a b c (Å): 3.7017 3.7017 13.0200
angles (deg): 90.00 90.00 90.00
Element x y z (fractional)
Sm (0.0000, 0.0000, 0.1532)
Sm (0.0000, 0.0000, 0.8468)
Sm (0.5000, 0.5000, 0.3441)
Sm (0.5000, 0.5000, 0.6559)
Cd (0.0000, 0.0000, 0.5000)
Hg (0.5000, 0.5000, 0.0000)

Summary:
Space group: P4/mmm (123)
Magnetization, μB/f.u.: 0.1


Unit: eV/atom. Relative energies: *i* 0.247; *ii* 0.000.


*i*
SmCd2Hg8 | PBE | relaxed

a b c (Å): 8.1154 8.1154 4.5971
angles (deg): 90.08 90.08 106.85
Element x y z (fractional)
Sm (0.0000, 0.0000, 0.0000)
Cd (0.3849, 0.6151, 0.5000)
Cd (0.6151, 0.3849, 0.5000)
Hg (0.0399, 0.3146, 0.5017)
Hg (0.2436, 0.7564, 0.0000)
Hg (0.3146, 0.0399, 0.5017)
Hg (0.3268, 0.3268, 0.0011)
Hg (0.6732, 0.6732, 0.9989)
Hg (0.6854, 0.9601, 0.4983)
Hg (0.7564, 0.2436, 0.0000)
Hg (0.9601, 0.6854, 0.4983)

Summary:
Space group: C2/m (12)
Magnetization, μB/f.u.: 0.0


*ii*
SmCd2Hg8 | PBE | relaxed

a b c (Å): 8.1365 8.1365 8.3307
angles (deg): 120.57 120.57 36.66
Element x y z (fractional)
Sm (0.0000, 0.0000, 0.0000)
Cd (0.2796, 0.2796, 0.2813)
Cd (0.7204, 0.7204, 0.7187)
Hg (0.1395, 0.1395, 0.4519)
Hg (0.1431, 0.1431, 0.8334)
Hg (0.3515, 0.3515, 0.8477)
Hg (0.4974, 0.4974, 0.3109)
Hg (0.5026, 0.5026, 0.6891)
Hg (0.6485, 0.6485, 0.1523)
Hg (0.8569, 0.8569, 0.1666)
Hg (0.8605, 0.8605, 0.5481)

Summary:
Space group: C2/m (12)
Magnetization, μB/f.u.: 0.0


Unit: eV/atom. Relative energies: *i* 0.025; *ii* 0.000.


*i*
SmCdHg2 | PBE | relaxed

a b c (Å): 8.0359 8.0359 8.0359
angles (deg): 29.69 29.69 29.69
Element x y z (fractional)
Sm (0.0000, 0.0000, 0.0000)
Cd (0.1672, 0.1672, 0.1672)
Hg (0.4219, 0.4219, 0.4219)
Hg (0.5778, 0.5778, 0.5778)

Summary:
Space group: R3m (160)
Magnetization, μB/f.u.: 0.0


*ii*
SmCdHg2 | PBE | relaxed

a b c (Å): 5.1580 5.1580 5.1580
angles (deg): 60.00 60.00 60.00
Element x y z (fractional)
Sm (0.0000, 0.0000, 0.0000)
Cd (0.5000, 0.5000, 0.5000)
Hg (0.2500, 0.2500, 0.2500)
Hg (0.7500, 0.7500, 0.7500)

Summary:
Space group: Fm-3m (225)
Magnetization, μB/f.u.: 0.0


*iii*
SmCdHg2 | PBE | relaxed

a b c (Å): 3.6934 3.6934 7.3252
angles (deg): 90.00 90.00 90.00
Element x y z (fractional)
Sm (0.0000, 0.0000, 0.0000)
Cd (0.0000, 0.0000, 0.5000)
Hg (0.5000, 0.5000, 0.2616)
Hg (0.5000, 0.5000, 0.7384)

Summary:
Space group: P4/mmm (123)
Magnetization, μB/f.u.: 0.2


Unit: eV/atom. Relative energies: *i* 0.215; *ii* 0.000; *iii* 0.111.


*i*
Sm6CdHg5 | PBE | relaxed

a b c (Å): 6.6390 6.6390 9.4325
angles (deg): 96.38 96.38 118.41
Element x y z (fractional)
Sm (0.0659, 0.4081, 0.7339)
Sm (0.2219, 0.2219, 0.2259)
Sm (0.4081, 0.0659, 0.7339)
Sm (0.5919, 0.9341, 0.2661)
Sm (0.7781, 0.7781, 0.7741)
Sm (0.9341, 0.5919, 0.2661)
Cd (0.5000, 0.5000, 0.0000)
Hg (0.0000, 0.0000, 0.5000)
Hg (0.1981, 0.8019, 0.0000)
Hg (0.3631, 0.6369, 0.5000)
Hg (0.6369, 0.3631, 0.5000)
Hg (0.8019, 0.1981, 0.0000)

Summary:
Space group: C2/m (12)
Magnetization, μB/f.u.: 0.0


*ii*
Sm6CdHg5 | PBE | relaxed

a b c (Å): 8.4613 8.4613 7.6499
angles (deg): 90.00 90.00 143.16
Element x y z (fractional)
Sm (0.0000, 0.0000, 0.2476)
Sm (0.0000, 0.0000, 0.7524)
Sm (0.3322, 0.6679, 0.2504)
Sm (0.3322, 0.6679, 0.7496)
Sm (0.6679, 0.3322, 0.2504)
Sm (0.6679, 0.3322, 0.7496)
Cd (0.5000, 0.5000, 0.5000)
Hg (0.1628, 0.8372, 0.5000)
Hg (0.1659, 0.8341, 0.0000)
Hg (0.5000, 0.5000, 0.0000)
Hg (0.8341, 0.1659, 0.0000)
Hg (0.8372, 0.1628, 0.5000)

Summary:
Space group: Cmmm (65)
Magnetization, μB/f.u.: 2.5


Unit: eV/atom. Relative energies: *i* 0.155; *ii* 0.000.